# NiSeIO2, relaxed, DFT GGA+U
data_NiSeIO2
_cell_length_a 3.9488
_cell_length_b 3.9488
_cell_length_c 5.8183
_cell_angle_alpha 90.00
_cell_angle_beta 90.00
_cell_angle_gamma 90.00
_space_group_name_H-M_alt 'P 1'
_space_group_IT_number 1
_space_group_name_Hall 'P 1'
loop_
_atom_site_label
_atom_site_fract_x
_atom_site_fract_y
_atom_site_fract_z
_atom_site_occupancy
Ni1 0.0000 0.0000 0.0000 1
Se1 0.5000 0.5000 0.0000 1
I1 0.5000 0.5000 0.5000 1
O1 0.0000 0.5000 0.5000 1
O2 0.5000 0.0000 0.5000 1
# mass density: 5.43 g/cm3
# electronic total energy: -3.2452 eV/atom
# SG: P4/mmm
# energy above the lowest structure with this stoichiometry: 157.7 meV/atom
# magnetization: 1.0 Bohr magnetons per cell